# 1
The following is a DFT calculation (PBE) of crystalline ScRe3 at its relaxed geometry.

```
4
Lattice="2.856 0.000 0.000 -1.428 2.474 0.000 1.428 -0.825 9.198" Properties=species:S:1:pos:R:3 pbc="T T T"
Re 0.000 1.649 9.075
Re 2.856 0.000 6.899
Re 1.428 0.825 4.722
Sc 0.000 1.649 2.300
```

Computed properties:
Calculated total energy: -10.7501 eV per atom
Formation energy from the elements: 0.169 eV/atom
ΔE to the lowest computed polymorph: 95 kJ/mol of formula units
Fermi-level density of states: 1.342 states/eV/atom

=====

# 2
The following is a DFT calculation (PBE) of crystalline MnSnMoP at its relaxed geometry.

```
12
Lattice="4.055 0.000 0.000 -2.027 3.511 0.000 0.000 0.000 15.241" Properties=species:S:1:pos:R:3 pbc="T T T"
Mo 2.027 1.170 5.134
Mo 0.000 0.000 0.054
Mo 0.000 2.341 10.214
Mn 2.027 1.170 10.760
Mn 0.000 2.341 0.600
Mn 0.000 0.000 5.680
P 2.027 1.170 14.569
P 0.000 0.000 9.488
P 0.000 2.341 4.408
Sn 2.027 1.170 2.198
Sn 0.000 0.000 12.358
Sn 0.000 2.341 7.278
```

Computed properties:
Calculated total energy: -7.1825 eV per atom
Formation energy from the elements: 0.171 eV/atom
ΔE to the lowest computed polymorph: 147 kJ/mol of formula units
Fermi-level density of states: 0.322 states/eV/atom

=====

# 3
The following is a DFT calculation (PBE) of crystalline SmCo2B at its relaxed geometry.

```
16
Lattice="3.718 0.000 0.000 0.000 6.066 0.000 0.000 0.000 9.831" Properties=species:S:1:pos:R:3 pbc="T T T"
Co 2.788 3.673 9.173
Co 2.788 1.132 1.933
Co 0.929 4.935 7.898
Co 0.929 1.902 6.849
Co 2.788 4.165 2.982
Co 0.929 2.393 0.658
Co 0.929 5.427 4.257
Co 2.788 0.640 5.574
Sm 0.929 5.197 1.193
Sm 0.929 2.163 3.722
Sm 2.788 0.870 8.638
Sm 2.788 3.903 6.109
B 2.788 3.020 1.250
B 0.929 3.046 8.581
B 2.788 6.054 3.666
B 0.929 0.013 6.165
```

Computed properties:
Calculated total energy: -6.6576 eV per atom
Formation energy from the elements: -0.256 eV/atom
Fermi-level density of states: 0.937 states/eV/atom